No. 1
Material: Ac4AgAu
Method: DFT, PBE-GGA
State: relaxed

The formation energy comes out at -0.78 eV per formula unit. For the total energy, the calculation gives -3.890 eV per atom. The density of states at the Fermi level comes out at 22.427 states/eV/cell.

Unit cell a=8.8088 b=8.8088 c=8.8088 alpha=105.82 beta=105.82 gamma=117.04
Positions (direct):
1 Au 0.5009 0.0009 0.5000
2 Au 0.7509 0.7509 0.0000
3 Ac 0.3005 0.5034 0.7972
4 Ac 0.2534 0.9562 0.7028
5 Ac 0.2534 0.5505 0.2972
6 Ac 0.7467 0.4530 0.7064
7 Ac 0.7903 0.9967 0.7936
8 Ac 0.2030 0.9967 0.2064
9 Ac 0.7062 0.5034 0.2028
10 Ac 0.7467 0.0403 0.2936
11 Ag 0.9991 0.4991 0.5000
12 Ag 0.2491 0.2491 0.0000

=====

No. 2
Material: Tl3Os5
Method: DFT, PBE-GGA
State: relaxed

The formation energy comes out at 9.60 eV per formula unit. For the total energy, the calculation gives -6.706 eV per atom. The density of states at the Fermi level comes out at 6.779 states/eV/cell.

Unit cell a=5.9598 b=5.9598 c=3.9529 alpha=90.00 beta=90.00 gamma=97.91
Positions (direct):
1 Os 0.2180 0.2180 0.5000
2 Os 0.5000 0.0000 0.0000
3 Os 0.0000 0.0000 0.0000
4 Os 0.0000 0.5000 0.0000
5 Os 0.7820 0.7820 0.5000
6 Tl 0.5000 0.5000 0.0000
7 Tl 0.2528 0.7472 0.5000
8 Tl 0.7472 0.2528 0.5000

=====

No. 3
Material: SrCa2AcNi
Method: DFT, PBE-GGA
State: relaxed

The formation energy comes out at -0.43 eV per formula unit. For the total energy, the calculation gives -3.201 eV per atom. The density of states at the Fermi level comes out at 3.548 states/eV/cell.

Unit cell a=5.6631 b=5.7906 c=5.7906 alpha=90.00 beta=90.00 gamma=90.00
Positions (direct):
1 Ni 0.0000 0.0000 0.0000
2 Ac 0.5000 0.0000 0.0000
3 Ca 0.0000 0.5000 0.0000
4 Ca 0.0000 0.0000 0.5000
5 Sr 0.5000 0.5000 0.5000

=====

No. 4
Material: LiCeNd2Te4
Method: DFT, PBE-GGA
State: relaxed

For the total energy, the calculation gives -5.103 eV per atom. The density of states at the Fermi level comes out at 8.641 states/eV/cell.

Unit cell a=4.4501 b=7.7170 c=7.7513 alpha=109.37 beta=90.00 gamma=90.00
Positions (direct):
1 Te 0.5000 0.7609 0.7609
2 Te 0.5000 0.2391 0.2391
3 Te 0.0000 0.2438 0.7567
4 Te 0.0000 0.7562 0.2433
5 Ce 0.5000 0.5000 0.0000
6 Nd 0.5000 0.0000 0.5000
7 Nd 0.0000 0.5000 0.5000
8 Li 0.0000 0.0000 0.0000

=====

No. 5
Material: Pr3Th2ZrN6
Method: DFT, PBE-GGA
State: relaxed

For the total energy, the calculation gives -8.783 eV per atom. The density of states at the Fermi level comes out at 3.556 states/eV/cell.

Unit cell a=6.2267 b=6.2267 c=6.2734 alpha=99.52 beta=99.52 gamma=119.94
Positions (direct):
1 Pr 0.5000 0.5000 0.5000
2 Pr 0.8358 0.1642 0.5000
3 Pr 0.1642 0.8358 0.5000
4 Zr 0.0000 0.0000 0.0000
5 N 0.2422 0.2422 0.7746
6 N 0.9266 0.6100 0.7805
7 N 0.6100 0.9266 0.7805
8 N 0.7578 0.7578 0.2254
9 N 0.0734 0.3900 0.2195
10 N 0.3900 0.0734 0.2195
11 Th 0.3329 0.6671 0.0000
12 Th 0.6671 0.3329 0.0000

=====

No. 6
Material: TlBi2Pd7Pb2
Method: DFT, PBE-GGA
State: relaxed

The formation energy comes out at -1.99 eV per formula unit. For the total energy, the calculation gives -4.657 eV per atom. The density of states at the Fermi level comes out at 5.872 states/eV/cell.

Unit cell a=4.0520 b=4.0520 c=16.1055 alpha=79.97 beta=79.97 gamma=89.28
Positions (direct):
1 Pd 0.7764 0.7764 0.5633
2 Pd 0.2236 0.2236 0.4367
3 Pd 0.0902 0.5905 0.8675
4 Pd 0.5000 0.5000 0.0000
5 Pd 0.9098 0.4095 0.1325
6 Pd 0.5905 0.0902 0.8675
7 Pd 0.4095 0.9098 0.1325
8 Tl 0.0000 0.0000 0.0000
9 Bi 0.2635 0.2635 0.6037
10 Bi 0.7365 0.7365 0.3963
11 Pb 0.3271 0.3271 0.2543
12 Pb 0.6729 0.6729 0.7457

=====

No. 7
Material: SrMg2
Method: DFT, PBE-GGA
State: relaxed

The formation energy comes out at 0.45 eV per formula unit. For the total energy, the calculation gives -1.474 eV per atom. The density of states at the Fermi level comes out at 1.913 states/eV/cell.

Unit cell a=3.8387 b=3.8387 c=7.9921 alpha=90.00 beta=90.00 gamma=120.00
Positions (direct):
1 Sr 0.0000 0.0000 0.0000
2 Mg 0.3333 0.6667 0.6398
3 Mg 0.6667 0.3333 0.3602

=====

No. 8
Material: GdPaCoIr
Method: DFT, PBE-GGA
State: relaxed

The formation energy comes out at -1.50 eV per formula unit. For the total energy, the calculation gives -10.261 eV per atom. The density of states at the Fermi level comes out at 5.369 states/eV/cell.

Unit cell a=4.8282 b=4.8282 c=4.8282 alpha=60.00 beta=60.00 gamma=60.00
Positions (direct):
1 Pa 0.7500 0.7500 0.7500
2 Gd 0.2500 0.2500 0.2500
3 Ir 0.0000 0.0000 0.0000
4 Co 0.5000 0.5000 0.5000

=====

No. 9
Material: Y2TcAu
Method: DFT, PBE-GGA
State: relaxed

The formation energy comes out at -1.33 eV per formula unit. For the total energy, the calculation gives -6.975 eV per atom. The density of states at the Fermi level comes out at 4.214 states/eV/cell.

Unit cell a=4.9440 b=3.5549 c=4.9447 alpha=90.00 beta=90.00 gamma=90.00
Positions (direct):
1 Au 0.0000 0.6252 0.3753
2 Tc 0.5000 0.6247 0.8746
3 Y 0.5000 0.1250 0.3750
4 Y 0.0000 0.1251 0.8752

=====

No. 10
Material: Na3TmCr2S6
Method: DFT, PBE-GGA
State: relaxed

For the total energy, the calculation gives -5.588 eV per atom.

Unit cell a=6.3738 b=6.3738 c=6.9649 alpha=98.85 beta=98.85 gamma=120.01
Positions (direct):
1 S 0.2899 0.2899 0.7920
2 S 0.4296 0.0696 0.2074
3 S 0.9304 0.5704 0.7926
4 S 0.0696 0.4296 0.2074
5 S 0.7101 0.7101 0.2080
6 S 0.5704 0.9304 0.7926
7 Tm 0.0000 0.0000 0.0000
8 Cr 0.6672 0.3328 0.0000
9 Cr 0.3328 0.6672 0.0000
10 Na 0.8376 0.1624 0.5000
11 Na 0.5000 0.5000 0.5000
12 Na 0.1624 0.8376 0.5000

=====

No. 11
Material: Ta2MnAg
Method: DFT, PBE-GGA
State: relaxed

The formation energy comes out at 1.18 eV per formula unit. For the total energy, the calculation gives -8.635 eV per atom. The density of states at the Fermi level comes out at 2.622 states/eV/cell.

Unit cell a=5.4111 b=5.4111 c=5.4111 alpha=146.79 beta=130.28 gamma=61.10
Positions (direct):
1 Ta 0.7533 0.2533 0.5000
2 Ta 0.0330 0.0330 0.0000
3 Ag 0.4753 0.4753 0.0000
4 Mn 0.2383 0.7383 0.5000

=====

No. 12
Material: Li2Pm2NdTl2
Method: DFT, PBE-GGA
State: relaxed

The formation energy comes out at -1.41 eV per formula unit. For the total energy, the calculation gives -3.463 eV per atom. The density of states at the Fermi level comes out at 5.946 states/eV/cell.

Unit cell a=4.9270 b=4.9270 c=9.5224 alpha=75.01 beta=75.01 gamma=60.00
Positions (direct):
1 Tl 0.2626 0.2626 0.2122
2 Tl 0.7374 0.7374 0.7878
3 Pm 0.1271 0.1271 0.6186
4 Pm 0.8729 0.8729 0.3814
5 Nd 0.0000 0.0000 0.0000
6 Li 0.3968 0.3968 0.8098
7 Li 0.6032 0.6032 0.1902